# 1
Tl4AuI6: relaxed, GGA-PBE.

```
Tl4AuI6
1.0
9.4780 0.0000 0.0000
0.0000 9.4780 0.0000
0.0000 0.0000 9.4622
Tl I Au
8 12 2
Cartesian
6.1817 8.0353 2.3656
8.0353 3.2963 2.3656
6.1817 8.0353 7.0967
1.4427 6.1817 7.0967
1.4427 6.1817 2.3656
8.0353 3.2963 7.0967
3.2963 1.4427 2.3656
3.2963 1.4427 7.0967
0.0000 0.0000 2.0480
6.4727 1.2910 4.7311
1.7337 3.4480 0.0000
4.7390 4.7390 6.7791
7.7444 6.0300 0.0000
1.2910 3.0053 4.7311
0.0000 0.0000 7.4143
8.1870 6.4727 4.7311
4.7390 4.7390 2.6831
3.0053 8.1870 4.7311
3.4480 7.7444 0.0000
6.0300 1.7337 0.0000
0.0000 0.0000 4.7311
4.7390 4.7390 0.0000
```

Values from the calculation:
**Symmetry**: No. 128
**Uncorrected formation energy**: -0.452 eV/atom

***

# 2
TlAu2I8: relaxed, GGA-PBE.

```
TlAu2I8
1.0
-3.7113 8.1309 2.8670
2.1295 -6.1271 4.7679
7.3147 2.1389 3.4027
I Tl Au
8 1 2
Cartesian
4.7846 2.4624 8.3953
2.3189 -1.1827 6.3560
-1.2703 6.5408 4.3562
3.4140 5.3255 4.6816
5.3356 0.7344 4.8243
0.9482 1.6803 2.6424
7.0032 -2.3981 6.6814
0.3972 3.4084 6.2133
0.0000 0.0000 0.0000
1.9622 -0.4707 3.8748
3.7707 4.6134 7.1628
```

Values from the calculation:
**Symmetry**: No. 12
**Excess energy over the best structure of this formula in the dataset**: 0.045 eV per atom
**Uncorrected formation energy**: 0.005 eV/atom